# PBE HoErTcPt, relaxed
data_HoErTcPt
_chemical_formula_sum 'Ho4 Er4 Tc4 Pt4'
_space_group_name_H-M_alt 'F -4 3 m'
_space_group_IT_number 216
_space_group_name_Hall 'F -4 2 3'
_cell_length_a 6.844
_cell_length_b 6.844
_cell_length_c 6.844
_cell_angle_alpha 90.00
_cell_angle_beta 90.00
_cell_angle_gamma 90.00
loop_
_atom_site_label
_atom_site_type_symbol
_atom_site_fract_x
_atom_site_fract_y
_atom_site_fract_z
_atom_site_occupancy
Ho1 Ho 0.000 0.000 0.000 1
Er1 Er 0.000 0.000 0.500 1
Tc1 Tc 0.250 0.250 0.750 1
Pt1 Pt 0.250 0.250 0.250 1
# ρ (g cm⁻³): 12.96
# Energy (eV per atom): -6.97

---

# PBE SrCr2Ni, relaxed
data_SrCr2Ni
_chemical_formula_sum 'Sr3 Cr6 Ni3'
_space_group_name_H-M_alt 'R -3 m'
_space_group_IT_number 166
_space_group_name_Hall '-R 3 2"'
_cell_length_a 4.2430
_cell_length_b 4.2430
_cell_length_c 16.8097
_cell_angle_alpha 90.00
_cell_angle_beta 90.00
_cell_angle_gamma 120.00
loop_
_atom_site_label
_atom_site_type_symbol
_atom_site_fract_x
_atom_site_fract_y
_atom_site_fract_z
_atom_site_occupancy
Sr1 Sr 0.0000 0.0000 0.0000 1
Cr1 Cr 0.0000 0.0000 0.1862 1
Ni1 Ni 0.0000 0.0000 0.5000 1
# ρ (g cm⁻³): 4.76
# Energy (eV per atom): -6.07

---

# PBE Li6Ca2Ag9, relaxed
data_Li6Ca2Ag9
_chemical_formula_sum 'Li6 Ca2 Ag9'
_space_group_name_H-M_alt 'P 6/m m m'
_space_group_IT_number 191
_space_group_name_Hall '-P 6 2'
_cell_length_a 5.7237
_cell_length_b 5.7237
_cell_length_c 12.8929
_cell_angle_alpha 90.00
_cell_angle_beta 90.00
_cell_angle_gamma 120.00
loop_
_atom_site_label
_atom_site_type_symbol
_atom_site_fract_x
_atom_site_fract_y
_atom_site_fract_z
_atom_site_occupancy
Li1 Li 0.3333 0.6667 0.0000 1
Li2 Li 0.3333 0.6667 0.3379 1
Ca1 Ca 0.0000 0.0000 0.3352 1
Ag1 Ag 0.0000 0.5000 0.1752 1
Ag2 Ag 0.0000 0.5000 0.5000 1
# ρ (g cm⁻³): 4.96
# Energy (eV per atom): -2.53

---

# PBE Li2AgHg, relaxed
data_Li2AgHg
_chemical_formula_sum 'Li8 Ag4 Hg4'
_space_group_name_H-M_alt 'F -4 3 m'
_space_group_IT_number 216
_space_group_name_Hall 'F -4 2 3'
_cell_length_a 6.579
_cell_length_b 6.579
_cell_length_c 6.579
_cell_angle_alpha 90.00
_cell_angle_beta 90.00
_cell_angle_gamma 90.00
loop_
_atom_site_label
_atom_site_type_symbol
_atom_site_fract_x
_atom_site_fract_y
_atom_site_fract_z
_atom_site_occupancy
Li1 Li 0.000 0.000 0.000 1
Li2 Li 0.250 0.250 0.250 1
Ag1 Ag 0.250 0.250 0.750 1
Hg1 Hg 0.000 0.000 0.500 1
# ρ (g cm⁻³): 7.52
# Energy (eV per atom): -2.01

---

# PBE Pu2CdP, relaxed
data_Pu2CdP
_chemical_formula_sum 'Pu6 Cd3 P3'
_space_group_name_H-M_alt 'R -3 m'
_space_group_IT_number 166
_space_group_name_Hall '-R 3 2"'
_cell_length_a 3.7465
_cell_length_b 3.7465
_cell_length_c 26.1105
_cell_angle_alpha 90.00
_cell_angle_beta 90.00
_cell_angle_gamma 120.00
loop_
_atom_site_label
_atom_site_type_symbol
_atom_site_fract_x
_atom_site_fract_y
_atom_site_fract_z
_atom_site_occupancy
Pu1 Pu 0.0000 0.0000 0.2331 1
Cd1 Cd 0.0000 0.0000 0.0000 1
P1 P 0.0000 0.0000 0.5000 1
# ρ (g cm⁻³): 9.91
# Energy (eV per atom): -9.16

---

# PBE ScNbVPd2, relaxed
data_ScNbVPd2
_chemical_formula_sum 'Sc1 Nb1 V1 Pd2'
_space_group_name_H-M_alt 'P 4/m m m'
_space_group_IT_number 123
_space_group_name_Hall '-P 4 2'
_cell_length_a 4.725
_cell_length_b 4.725
_cell_length_c 4.458
_cell_angle_alpha 90.00
_cell_angle_beta 90.00
_cell_angle_gamma 90.00
loop_
_atom_site_label
_atom_site_type_symbol
_atom_site_fract_x
_atom_site_fract_y
_atom_site_fract_z
_atom_site_occupancy
Sc1 Sc 0.000 0.000 0.000 1
Nb1 Nb 0.500 0.500 0.000 1
V1 V 0.500 0.500 0.500 1
Pd1 Pd 0.000 0.500 0.500 1
# ρ (g cm⁻³): 6.70
# Energy (eV per atom): -6.82

---

# PBE Pa3P2C, relaxed
data_Pa3P2C
_chemical_formula_sum 'Pa6 P4 C2'
_space_group_name_H-M_alt 'I m m m'
_space_group_IT_number 71
_space_group_name_Hall '-I 2 2'
_cell_length_a 3.773
_cell_length_b 5.493
_cell_length_c 11.678
_cell_angle_alpha 90.00
_cell_angle_beta 90.00
_cell_angle_gamma 90.00
loop_
_atom_site_label
_atom_site_type_symbol
_atom_site_fract_x
_atom_site_fract_y
_atom_site_fract_z
_atom_site_occupancy
Pa1 Pa 0.000 0.000 0.000 1
Pa2 Pa 0.000 0.000 0.352 1
P1 P 0.000 0.500 0.326 1
C1 C 0.000 0.500 0.000 1
# ρ (g cm⁻³): 10.53
# Energy (eV per atom): -9.07

---

# PBE SrMnPb2, relaxed
data_SrMnPb2
_chemical_formula_sum 'Sr2 Mn2 Pb4'
_space_group_name_H-M_alt 'C m m m'
_space_group_IT_number 65
_space_group_name_Hall '-C 2 2'
_cell_length_a 5.241
_cell_length_b 5.703
_cell_length_c 7.577
_cell_angle_alpha 90.00
_cell_angle_beta 90.00
_cell_angle_gamma 90.00
loop_
_atom_site_label
_atom_site_type_symbol
_atom_site_fract_x
_atom_site_fract_y
_atom_site_fract_z
_atom_site_occupancy
Sr1 Sr 0.000 0.000 0.000 1
Mn1 Mn 0.000 0.000 0.500 1
Pb1 Pb 0.000 0.500 0.297 1
# ρ (g cm⁻³): 8.17
# Energy (eV per atom): -4.54

---

# PBE KCdNi, relaxed
data_KCdNi
_chemical_formula_sum 'K1 Cd1 Ni1'
_space_group_name_H-M_alt 'P -6 m 2'
_space_group_IT_number 187
_space_group_name_Hall 'P -6 2'
_cell_length_a 4.4337
_cell_length_b 4.4337
_cell_length_c 5.0976
_cell_angle_alpha 90.00
_cell_angle_beta 90.00
_cell_angle_gamma 120.00
loop_
_atom_site_label
_atom_site_type_symbol
_atom_site_fract_x
_atom_site_fract_y
_atom_site_fract_z
_atom_site_occupancy
K1 K 0.0000 0.0000 0.0000 1
Cd1 Cd 0.3333 0.6667 0.5000 1
Ni1 Ni 0.6667 0.3333 0.5000 1
# ρ (g cm⁻³): 4.02
# Energy (eV per atom): -2.25

---

# PBE ZrAlPbBr2, relaxed
data_ZrAlPbBr2
_chemical_formula_sum 'Zr1 Al1 Pb1 Br2'
_space_group_name_H-M_alt 'P 4/m m m'
_space_group_IT_number 123
_space_group_name_Hall '-P 4 2'
_cell_length_a 4.959
_cell_length_b 4.959
_cell_length_c 5.945
_cell_angle_alpha 90.00
_cell_angle_beta 90.00
_cell_angle_gamma 90.00
loop_
_atom_site_label
_atom_site_type_symbol
_atom_site_fract_x
_atom_site_fract_y
_atom_site_fract_z
_atom_site_occupancy
Zr1 Zr 0.000 0.000 0.000 1
Al1 Al 0.000 0.000 0.500 1
Pb1 Pb 0.500 0.500 0.000 1
Br1 Br 0.000 0.500 0.500 1
# ρ (g cm⁻³): 5.51
# ΔE_f (raw) (eV per atom): 0.271

---

# PBE VCoGeMo, relaxed
data_VCoGeMo
_chemical_formula_sum 'V4 Co4 Ge4 Mo4'
_space_group_name_H-M_alt 'F -4 3 m'
_space_group_IT_number 216
_space_group_name_Hall 'F -4 2 3'
_cell_length_a 5.983
_cell_length_b 5.983
_cell_length_c 5.983
_cell_angle_alpha 90.00
_cell_angle_beta 90.00
_cell_angle_gamma 90.00
loop_
_atom_site_label
_atom_site_type_symbol
_atom_site_fract_x
_atom_site_fract_y
_atom_site_fract_z
_atom_site_occupancy
V1 V 0.000 0.000 0.000 1
Co1 Co 0.250 0.250 0.250 1
Ge1 Ge 0.000 0.000 0.500 1
Mo1 Mo 0.250 0.250 0.750 1
# ρ (g cm⁻³): 8.64
# Energy (eV per atom): -8.02

---

# PBE NaGeBr3, relaxed
data_NaGeBr3
_chemical_formula_sum 'Na1 Ge1 Br3'
_space_group_name_H-M_alt 'P m -3 m'
_space_group_IT_number 221
_space_group_name_Hall '-P 4 2 3'
_cell_length_a 5.499
_cell_length_b 5.499
_cell_length_c 5.499
_cell_angle_alpha 90.00
_cell_angle_beta 90.00
_cell_angle_gamma 90.00
loop_
_atom_site_label
_atom_site_type_symbol
_atom_site_fract_x
_atom_site_fract_y
_atom_site_fract_z
_atom_site_occupancy
Na1 Na 0.000 0.000 0.000 1
Ge1 Ge 0.500 0.500 0.500 1
Br1 Br 0.000 0.500 0.500 1
# ρ (g cm⁻³): 3.35
# ΔE_f (raw) (eV per atom): -0.819